[1]
DFT (PBEsol) results for crystalline HfAlMo3 at its relaxed geometry.

Output
DOS at the Fermi energy: 1.125 states/eV/atom
formation energy from the elements: 1.242 eV per atom
size of the total moment: 0.001 μB per formula unit

abc: 4.5207 4.5207 4.5207
angles: 90.00 90.00 90.00
With the nearest neighbours (Å) after each atom.
Positions (direct):
Hf (0.5000, 0.5000, 0.5000)  12 Mo 3.20
Mo (0.0000, 0.0000, 0.5000)  2 Al 2.26
Mo (0.0000, 0.5000, 0.0000)  2 Al 2.26
Mo (0.5000, 0.0000, 0.0000)  2 Al 2.26
Al (0.0000, 0.0000, 0.0000)  6 Mo 2.26

[2]
DFT (PBEsol) results for crystalline SrAg2Sb at its relaxed geometry.

Output
DOS at the Fermi energy: 0.326 states/eV/atom
formation energy without anion corrections: -261 meV/atom
size of the total moment: 0.000 μB per formula unit

abc: 4.5088 4.7271 5.1053
angles: 90.00 99.81 90.00
With the nearest neighbours (Å) after each atom.
Positions (direct):
Ag (0.7573, 0.5000, 0.2489)  2 Ag 2.72, 2 Sb 2.75
Ag (0.8596, 0.0000, 0.0140)  2 Sb 2.71-2.77, 2 Ag 2.72
Sb (0.6375, 0.0000, 0.4868)  4 Ag 2.71-2.77
Sr (0.2457, 0.5000, 0.7503)  4 Ag 3.08-3.35, 2 Sb 3.37

[3]
DFT (PBEsol) results for crystalline In2FeIr at its relaxed geometry.

Output
DOS at the Fermi energy: 0.677 states/eV/atom
formation energy from the elements: 0.261 eV per atom
size of the total moment: 2.246 μB per formula unit

abc: 2.9717 2.9717 8.8060
angles: 80.29 80.29 60.00
With the nearest neighbours (Å) after each atom.
Positions (direct):
Fe (0.0000, 0.0000, 0.0000)  6 In 2.73, 6 Fe 2.97
In (0.2515, 0.2515, 0.2456)  3 Fe 2.73, 3 Ir 2.79, 6 In 2.97
In (0.7485, 0.7485, 0.7544)  3 Fe 2.73, 3 Ir 2.79, 6 In 2.97
Ir (0.5000, 0.5000, 0.5000)  6 In 2.79, 6 Ir 2.97

Question: Which formula does entry 2 have?
Answer: SrAg2Sb

Question: Look up the size of the total moment of the first one.
Answer: 0.001 μB per formula unit

Question: The highest size of the total moment belongs to which entry?
Answer: In2FeIr

Question: Among the records above, which one has the lowest size of the total moment?
Answer: SrAg2Sb